No. 1
# La3AlI3

La3AlI3 after structural relaxation (PBE-GGA, Alexandria).

For the calculated total energy, the calculation gives -30.45 eV per formula unit. The calculation puts the total magnetization at 0.00 Bohr magnetons per cell.

It has space group I4_132 (No. 214), with a = 12.8877 Å, b = 12.8877 Å, c = 12.8877 Å, α = 90.00°, β = 90.00° and γ = 90.00°. The asymmetric unit holds La at (0.1144, 0.3644, 0.1250), Al at (0.1250, 0.1250, 0.1250) and I at (0.1180, 0.1320, 0.6250).

***

No. 2
# LaHg5Rh

LaHg5Rh after structural relaxation (PBE-GGA, Alexandria).

For the calculated total energy, the calculation gives -15.36 eV per formula unit. The calculation puts the total magnetization at 0.00 Bohr magnetons per cell.

It has space group P4/mmm (No. 123), with a = 4.8719 Å, b = 4.8719 Å, c = 7.4139 Å, α = 90.00°, β = 90.00° and γ = 90.00°. The asymmetric unit holds La at (0.0000, 0.0000, 0.0000), Hg at (0.0000, 0.5000, 0.3006), Hg at (0.5000, 0.5000, 0.0000) and Rh at (0.0000, 0.0000, 0.5000).

***

No. 3
# La2Br5

La2Br5 after structural relaxation (PBE-GGA, Alexandria).

For the calculated total energy, the calculation gives -31.14 eV per formula unit. The calculation puts the total magnetization at 4.26 Bohr magnetons per cell.

It has space group C2/c (No. 15), with a = 15.9709 Å, b = 6.6229 Å, c = 8.3349 Å, α = 90.00°, β = 97.30° and γ = 90.00°. The asymmetric unit holds La at (0.1020, 0.1986, 0.0822), Br at (0.0000, 0.1141, 0.7500), Br at (0.0862, 0.3686, 0.4219) and Br at (0.2207, 0.0812, 0.8312).

***

No. 4
# LiRuPb2Cl

LiRuPb2Cl after structural relaxation (PBE-GGA, Alexandria).

For the calculated total energy, the calculation gives -18.22 eV per formula unit. The calculation puts the total magnetization at 1.42 Bohr magnetons per cell.

It has space group P4/mmm (No. 123), with a = 5.5498 Å, b = 5.5498 Å, c = 4.0217 Å, α = 90.00°, β = 90.00° and γ = 90.00°. The asymmetric unit holds Li at (0.0000, 0.0000, 0.0000), Ru at (0.5000, 0.5000, 0.0000), Pb at (0.0000, 0.5000, 0.5000) and Cl at (0.0000, 0.0000, 0.5000).

***

No. 5
# PmTm3Ag

PmTm3Ag after structural relaxation (PBE-GGA, Alexandria).

For the calculated total energy, the calculation gives -20.75 eV per formula unit. The calculation puts the total magnetization at 0.00 Bohr magnetons per cell.

It has space group C2/m (No. 12), with a = 11.4142 Å, b = 8.2800 Å, c = 7.7066 Å, α = 90.00°, β = 121.82° and γ = 90.00°. The asymmetric unit holds Pm at (0.0851, 0.0000, 0.2720), Tm at (0.0571, 0.5000, 0.3152), Tm at (0.1767, 0.2053, 0.6989) and Ag at (0.2483, 0.0000, 0.0590).

***

No. 6
# NdDyEr6

NdDyEr6 after structural relaxation (PBE-GGA, Alexandria).

For the calculated total energy, the calculation gives -34.92 eV per formula unit. The calculation puts the total magnetization at 0.00 Bohr magnetons per cell.

It has space group C2/m (No. 12), with a = 6.6275 Å, b = 11.7511 Å, c = 6.5288 Å, α = 90.00°, β = 91.49° and γ = 90.00°. The asymmetric unit holds Nd at (0.0000, 0.0000, 0.0000), Dy at (0.0000, 0.0000, 0.5000), Er at (0.0333, 0.5000, 0.2514) and Er at (0.1747, 0.2500, 0.7455).

***

No. 7
# Re3Mo

Re3Mo after structural relaxation (PBE-GGA, Alexandria).

For the calculated total energy, the calculation gives -47.71 eV per formula unit. The calculation puts the total magnetization at 0.00 Bohr magnetons per cell.

It has space group Pm-3m (No. 221), with a = 3.9363 Å, b = 3.9363 Å, c = 3.9363 Å, α = 90.00°, β = 90.00° and γ = 90.00°. The asymmetric unit holds Re at (0.0000, 0.0000, 0.5000) and Mo at (0.5000, 0.5000, 0.5000).

***

No. 8
# RbPrF4

RbPrF4 after structural relaxation (PBE-GGA, Alexandria).

For the calculated total energy, the calculation gives -35.19 eV per formula unit. The calculation puts the total magnetization at 0.00 Bohr magnetons per cell.

It has space group P4/mmm (No. 123), with a = 4.0806 Å, b = 4.0806 Å, c = 6.6230 Å, α = 90.00°, β = 90.00° and γ = 90.00°. The asymmetric unit holds Rb at (0.0000, 0.0000, 0.0000), Pr at (0.5000, 0.5000, 0.5000) and F at (0.0000, 0.5000, 0.2998).